12
Lattice="2.905 -5.043 0.000 2.905 5.043 0.000 -1.909 0.000 6.210" Properties=species:S:1:pos:R:3 comment="K3UMn2O6 (PBE with a Hubbard U, optimized geometry)" total_energy_ev_per_fu=-84.3 magnetic_moment_mub_per_cell=11.00 pbc="T T T"
K 0.000 0.000 0.000
K 2.905 1.763 0.000
K 2.905 -1.763 0.000
U 1.951 0.000 3.105
Mn 1.951 3.365 3.105
Mn 1.951 -3.365 3.105
O 1.016 1.608 1.951
O 0.106 0.000 4.275
O 1.016 -1.608 1.951
O 2.886 1.608 4.259
O 3.796 0.000 1.935
O 2.886 -1.608 4.259